(1)
Mo2HOsRh | PBE | relaxed

The structure in CIF format:
```
data_Mo2HOsRh
_chemical_formula_sum 'Mo2 H1 Os1 Rh1'
_cell_length_a 3.992
_cell_length_b 3.992
_cell_length_c 3.881
_cell_angle_alpha 90.00
_cell_angle_beta 90.00
_cell_angle_gamma 90.00
_symmetry_space_group_name_H-M 'P 1'
_symmetry_Int_Tables_number 1
_symmetry_space_group_name_Hall 'P 1'
loop_
_atom_site_label
_atom_site_type_symbol
_atom_site_fract_x
_atom_site_fract_y
_atom_site_fract_z
_atom_site_occupancy
Mo1 Mo 0.000 0.500 0.000 1
Mo2 Mo 0.500 0.000 0.000 1
H1 H 0.000 0.000 0.000 1
Os1 Os 0.500 0.500 0.500 1
Rh1 Rh 0.000 0.000 0.500 1
```

Computed properties:
Energy above the most stable polymorph in this dataset   0 meV/atom
SG   P4/mmm (123)
Fermi-level density of states   3.23 states/eV per cell
Final energy   -43.7 eV per cell

=====

(2)
MgCdGa2 | PBE | relaxed

The structure in CIF format:
```
data_MgCdGa2
_chemical_formula_sum 'Mg2 Cd2 Ga4'
_cell_length_a 4.119
_cell_length_b 6.754
_cell_length_c 6.295
_cell_angle_alpha 90.00
_cell_angle_beta 107.84
_cell_angle_gamma 90.00
_symmetry_space_group_name_H-M 'P 1'
_symmetry_Int_Tables_number 1
_symmetry_space_group_name_Hall 'P 1'
loop_
_atom_site_label
_atom_site_type_symbol
_atom_site_fract_x
_atom_site_fract_y
_atom_site_fract_z
_atom_site_occupancy
Mg1 Mg 0.044 0.250 0.090 1
Mg2 Mg 0.956 0.750 0.910 1
Cd1 Cd 0.230 0.750 0.478 1
Cd2 Cd 0.770 0.250 0.522 1
Ga1 Ga 0.398 0.053 0.790 1
Ga2 Ga 0.398 0.447 0.790 1
Ga3 Ga 0.602 0.553 0.210 1
Ga4 Ga 0.602 0.947 0.210 1
```

Computed properties:
Energy above the most stable polymorph in this dataset   22 meV/atom
SG   P2_1/m (11)
Fermi-level density of states   1.86 states/eV per cell
ΔE_f   -0.04 eV per atom
Final energy   -17.4 eV per cell

=====

(3)
K3CaZn2F9 | PBE | relaxed

The structure in CIF format:
```
data_K3CaZn2F9
_chemical_formula_sum 'K3 Ca1 Zn2 F9'
_cell_length_a 5.981
_cell_length_b 5.981
_cell_length_c 7.387
_cell_angle_alpha 90.00
_cell_angle_beta 90.00
_cell_angle_gamma 120.00
_symmetry_space_group_name_H-M 'P 1'
_symmetry_Int_Tables_number 1
_symmetry_space_group_name_Hall 'P 1'
loop_
_atom_site_label
_atom_site_type_symbol
_atom_site_fract_x
_atom_site_fract_y
_atom_site_fract_z
_atom_site_occupancy
K1 K 0.000 0.000 0.000 1
K2 K 0.333 0.667 0.683 1
K3 K 0.667 0.333 0.317 1
Ca1 Ca 0.000 0.000 0.500 1
Zn1 Zn 0.333 0.667 0.160 1
Zn2 Zn 0.667 0.333 0.840 1
F1 F 0.000 0.500 0.000 1
F2 F 0.173 0.345 0.321 1
F3 F 0.173 0.827 0.321 1
F4 F 0.345 0.173 0.679 1
F5 F 0.500 0.000 0.000 1
F6 F 0.500 0.500 0.000 1
F7 F 0.655 0.827 0.321 1
F8 F 0.827 0.173 0.679 1
F9 F 0.827 0.655 0.679 1
```

Computed properties:
E_form (uncorrected)   -2.8601 eV per atom
SG   P-3m1 (164)
Fermi-level density of states   0.00 states/eV per cell
Final energy   -67.6 eV per cell

=====

(4)
Nd4Sm2Ho | PBE | relaxed

The structure in CIF format:
```
data_Nd4Sm2Ho
_chemical_formula_sum 'Nd8 Sm4 Ho2'
_cell_length_a 6.438
_cell_length_b 6.438
_cell_length_c 13.296
_cell_angle_alpha 90.00
_cell_angle_beta 90.00
_cell_angle_gamma 117.67
_symmetry_space_group_name_H-M 'P 1'
_symmetry_Int_Tables_number 1
_symmetry_space_group_name_Hall 'P 1'
loop_
_atom_site_label
_atom_site_type_symbol
_atom_site_fract_x
_atom_site_fract_y
_atom_site_fract_z
_atom_site_occupancy
Nd1 Nd 0.226 0.274 0.750 1
Nd2 Nd 0.230 0.770 0.837 1
Nd3 Nd 0.270 0.730 0.337 1
Nd4 Nd 0.274 0.226 0.250 1
Nd5 Nd 0.726 0.774 0.750 1
Nd6 Nd 0.730 0.270 0.663 1
Nd7 Nd 0.770 0.230 0.163 1
Nd8 Nd 0.774 0.726 0.250 1
Sm1 Sm 0.163 0.837 0.571 1
Sm2 Sm 0.337 0.663 0.071 1
Sm3 Sm 0.663 0.337 0.929 1
Sm4 Sm 0.837 0.163 0.429 1
Ho1 Ho 0.000 0.000 0.000 1
Ho2 Ho 0.500 0.500 0.500 1
```

Computed properties:
Energy above the most stable polymorph in this dataset   0 meV/atom
SG   Cmce (64)
Fermi-level density of states   21.78 states/eV per cell
ΔE_f   0.18 eV per atom
Final energy   -63.6 eV per cell

=====

(5)
B5C7 | PBE | relaxed

The structure in CIF format:
```
data_B5C7
_chemical_formula_sum 'B5 C7'
_cell_length_a 2.477
_cell_length_b 2.676
_cell_length_c 11.989
_cell_angle_alpha 90.00
_cell_angle_beta 90.00
_cell_angle_gamma 90.00
_symmetry_space_group_name_H-M 'P 1'
_symmetry_Int_Tables_number 1
_symmetry_space_group_name_Hall 'P 1'
loop_
_atom_site_label
_atom_site_type_symbol
_atom_site_fract_x
_atom_site_fract_y
_atom_site_fract_z
_atom_site_occupancy
B1 B 0.000 0.000 0.000 1
B2 B 0.000 0.000 0.329 1
B3 B 0.000 0.500 0.615 1
B4 B 0.500 0.000 0.454 1
B5 B 0.500 0.500 0.166 1
C1 C 0.000 0.000 0.696 1
C2 C 0.000 0.500 0.268 1
C3 C 0.000 0.500 0.917 1
C4 C 0.500 0.000 0.095 1
C5 C 0.500 0.000 0.768 1
C6 C 0.500 0.500 0.518 1
C7 C 0.500 0.500 0.846 1
```

Computed properties:
Energy above the most stable polymorph in this dataset   100 meV/atom
SG   Pmm2 (25)
Fermi-level density of states   2.93 states/eV per cell
ΔE_f   0.36 eV per atom
Final energy   -93.7 eV per cell

=====

(6)
Ca4ThPb15 | PBE | relaxed

The structure in CIF format:
```
data_Ca4ThPb15
_chemical_formula_sum 'Ca4 Th1 Pb15'
_cell_length_a 4.918
_cell_length_b 4.918
_cell_length_c 24.842
_cell_angle_alpha 90.00
_cell_angle_beta 90.00
_cell_angle_gamma 90.00
_symmetry_space_group_name_H-M 'P 1'
_symmetry_Int_Tables_number 1
_symmetry_space_group_name_Hall 'P 1'
loop_
_atom_site_label
_atom_site_type_symbol
_atom_site_fract_x
_atom_site_fract_y
_atom_site_fract_z
_atom_site_occupancy
Ca1 Ca 0.000 0.000 0.100 1
Ca2 Ca 0.000 0.000 0.302 1
Ca3 Ca 0.000 0.000 0.698 1
Ca4 Ca 0.000 0.000 0.900 1
Th1 Th 0.000 0.000 0.500 1
Pb1 Pb 0.000 0.500 0.000 1
Pb2 Pb 0.000 0.500 0.200 1
Pb3 Pb 0.000 0.500 0.399 1
Pb4 Pb 0.000 0.500 0.601 1
Pb5 Pb 0.000 0.500 0.800 1
Pb6 Pb 0.500 0.000 0.000 1
Pb7 Pb 0.500 0.000 0.200 1
Pb8 Pb 0.500 0.000 0.399 1
Pb9 Pb 0.500 0.000 0.601 1
Pb10 Pb 0.500 0.000 0.800 1
Pb11 Pb 0.500 0.500 0.100 1
Pb12 Pb 0.500 0.500 0.300 1
Pb13 Pb 0.500 0.500 0.500 1
Pb14 Pb 0.500 0.500 0.700 1
Pb15 Pb 0.500 0.500 0.900 1
```

Computed properties:
SG   P4/mmm (123)
Fermi-level density of states   9.16 states/eV per cell
ΔE_f   -0.30 eV per atom
Final energy   -77.0 eV per cell